Arrangement i

Density functional theory data (PBE-GGA) for an optimized crystal structure of GaBAsBr2.

* total magnetic moment: 0.0 μB per cell
* calculated density: 4.56 g/cm³

Geometry as POSCAR:
```
GaBAsBr2
1.0
5.301 0.000 0.000
0.000 5.301 0.000
0.000 0.000 4.088
Ga B As Br
1 1 1 2
Direct
0.000 0.000 0.000
0.500 0.500 0.500
0.500 0.500 0.000
0.000 0.500 0.500
0.500 0.000 0.500
```

***

Arrangement ii

Density functional theory data (PBE-GGA) for an optimized crystal structure of GaBAsBr2.

* total magnetic moment: 0.0 μB per cell
* calculated density: 3.86 g/cm³

Geometry as POSCAR:
```
GaBAsBr2
1.0
5.198 0.000 0.000
0.000 5.198 0.000
0.000 0.000 5.013
Ga B As Br
1 1 1 2
Direct
0.000 0.000 0.000
0.500 0.500 0.500
0.000 0.000 0.500
0.000 0.500 0.000
0.500 0.000 0.000
```

***

Stability order, top to bottom: arrangement i, arrangement ii

***

Arrangement i

Density functional theory data (PBE-GGA) for an optimized crystal structure of GeBAs2Br.

* total magnetic moment: 0.0 μB per cell
* calculated density: 5.31 g/cm³

Geometry as POSCAR:
```
GeBAs2Br
1.0
4.362 0.000 0.000
0.000 4.362 0.000
0.000 0.000 5.147
Ge B As Br
1 1 2 1
Direct
0.000 0.000 0.000
0.500 0.500 0.500
0.000 0.500 0.500
0.500 0.000 0.500
0.500 0.500 0.000
```

***

Arrangement ii

Density functional theory data (PBE-GGA) for an optimized crystal structure of GeBAs2Br.

* total magnetic moment: 0.9 μB per cell
* calculated density: 3.91 g/cm³

Geometry as POSCAR:
```
GeBAs2Br
1.0
4.972 0.000 0.000
0.000 4.972 0.000
0.000 0.000 5.375
Ge B As Br
1 1 2 1
Direct
0.000 0.000 0.000
0.500 0.500 0.500
0.000 0.500 0.000
0.500 0.000 0.000
0.000 0.000 0.500
```

***

Stability order, top to bottom: arrangement i, arrangement ii

***

Arrangement i

Density functional theory data (PBE-GGA) for an optimized crystal structure of HfBAs2Br.

* total magnetic moment: 0.0 μB per cell
* calculated density: 4.93 g/cm³

Geometry as POSCAR:
```
HfBAs2Br
1.0
5.171 0.000 0.000
0.000 5.171 0.000
0.000 0.000 5.281
Hf B As Br
1 1 2 1
Direct
0.000 0.000 0.000
0.500 0.500 0.500
0.000 0.500 0.000
0.500 0.000 0.000
0.000 0.000 0.500
```

***

Arrangement ii

Density functional theory data (PBE-GGA) for an optimized crystal structure of HfBAs2Br.

* total magnetic moment: 0.0 μB per cell
* calculated density: 7.67 g/cm³

Geometry as POSCAR:
```
HfBAs2Br
1.0
4.450 0.000 0.000
0.000 4.450 0.000
0.000 0.000 4.582
Hf B As Br
1 1 2 1
Direct
0.000 0.000 0.000
0.500 0.500 0.500
0.000 0.500 0.500
0.500 0.000 0.500
0.500 0.500 0.000
```

***

Stability order, top to bottom: arrangement ii, arrangement i

***

Arrangement i

Density functional theory data (PBE-GGA) for an optimized crystal structure of BAsIBr2.

* total magnetic moment: 1.4 μB per cell
* calculated density: 3.24 g/cm³

Geometry as POSCAR:
```
BAsIBr2
1.0
5.809 0.000 0.000
0.000 5.809 0.000
0.000 0.000 5.652
B As I Br
1 1 1 2
Direct
0.000 0.000 0.000
0.500 0.500 0.000
0.500 0.500 0.500
0.000 0.500 0.500
0.500 0.000 0.500
```

***

Arrangement ii

Density functional theory data (PBE-GGA) for an optimized crystal structure of BAsIBr2.

* total magnetic moment: 0.0 μB per cell
* calculated density: 5.50 g/cm³

Geometry as POSCAR:
```
BAsIBr2
1.0
4.548 0.000 0.000
0.000 4.548 0.000
0.000 0.000 5.432
B As I Br
1 1 1 2
Direct
0.000 0.000 0.000
0.000 0.000 0.500
0.500 0.500 0.500
0.000 0.500 0.000
0.500 0.000 0.000
```

***

Stability order, top to bottom: arrangement ii, arrangement i

***

Arrangement i

Density functional theory data (PBE-GGA) for an optimized crystal structure of BAs2IBr.

* total magnetic moment: 0.0 μB per cell
* calculated density: 5.88 g/cm³

Geometry as POSCAR:
```
BAs2IBr
1.0
4.753 0.000 0.000
0.000 4.753 0.000
0.000 0.000 4.592
B As I Br
1 2 1 1
Direct
0.000 0.000 0.000
0.000 0.500 0.000
0.500 0.000 0.000
0.500 0.500 0.500
0.000 0.000 0.500
```

***

Arrangement ii

Density functional theory data (PBE-GGA) for an optimized crystal structure of BAs2IBr.

* total magnetic moment: 1.9 μB per cell
* calculated density: 3.46 g/cm³

Geometry as POSCAR:
```
BAs2IBr
1.0
5.528 0.000 0.000
0.000 5.528 0.000
0.000 0.000 5.764
B As I Br
1 2 1 1
Direct
0.000 0.000 0.000
0.000 0.500 0.500
0.500 0.000 0.500
0.500 0.500 0.500
0.500 0.500 0.000
```

***

Stability order, top to bottom: arrangement i, arrangement ii

***

Arrangement i

Density functional theory data (PBE-GGA) for an optimized crystal structure of InBAsBr2.

* total magnetic moment: 1.2 μB per cell
* calculated density: 3.65 g/cm³

Geometry as POSCAR:
```
InBAsBr2
1.0
5.510 0.000 0.000
0.000 5.510 0.000
0.000 0.000 5.407
In B As Br
1 1 1 2
Direct
0.000 0.000 0.000
0.500 0.500 0.500
0.000 0.000 0.500
0.000 0.500 0.000
0.500 0.000 0.000
```

***

Arrangement ii

Density functional theory data (PBE-GGA) for an optimized crystal structure of InBAsBr2.

* total magnetic moment: 0.0 μB per cell
* calculated density: 4.98 g/cm³

Geometry as POSCAR:
```
InBAsBr2
1.0
5.394 0.000 0.000
0.000 5.394 0.000
0.000 0.000 4.128
In B As Br
1 1 1 2
Direct
0.000 0.000 0.000
0.500 0.500 0.500
0.500 0.500 0.000
0.000 0.500 0.500
0.500 0.000 0.500
```

***

Stability order, top to bottom: arrangement ii, arrangement i

***

Arrangement i

Density functional theory data (PBE-GGA) for an optimized crystal structure of BAs2IrBr.

* total magnetic moment: 0.0 μB per cell
* calculated density: 8.74 g/cm³

Geometry as POSCAR:
```
BAs2IrBr
1.0
4.292 0.000 0.000
0.000 4.292 0.000
0.000 0.000 4.465
B As Ir Br
1 2 1 1
Direct
0.000 0.000 0.000
0.000 0.500 0.000
0.500 0.000 0.000
0.500 0.500 0.500
0.000 0.000 0.500
```

***

Arrangement ii

Density functional theory data (PBE-GGA) for an optimized crystal structure of BAs2IrBr.

* total magnetic moment: 0.0 μB per cell
* calculated density: 5.81 g/cm³

Geometry as POSCAR:
```
BAs2IrBr
1.0
4.729 0.000 0.000
0.000 4.729 0.000
0.000 0.000 5.530
B As Ir Br
1 2 1 1
Direct
0.000 0.000 0.000
0.000 0.500 0.500
0.500 0.000 0.500
0.500 0.500 0.500
0.500 0.500 0.000
```

***

Stability order, top to bottom: arrangement i, arrangement ii